P | The following is a DFT calculation (GGA+U) of a relaxed structure of Mn2O3F.

Properties
Crystal system: monoclinic
M_tot (μB/cell): 28.0
Density of states at the Fermi level (states/eV per cell): 2.86

Cell lengths 5.494, 5.494, 8.773 Å; angles 91.96, 91.96, 74.51 degrees
Positions (direct):
1 Mn 0.000 0.000 0.000
2 Mn 0.137 0.113 0.626
3 Mn 0.298 0.203 0.251
4 Mn 0.404 0.346 0.876
5 Mn 0.545 0.455 0.500
6 Mn 0.654 0.596 0.124
7 Mn 0.797 0.702 0.749
8 Mn 0.887 0.863 0.374
9 O 0.053 0.002 0.222
10 O 0.090 0.414 0.749
11 O 0.243 0.202 0.031
12 O 0.315 0.241 0.474
13 O 0.504 0.439 0.280
14 O 0.561 0.496 0.720
15 O 0.586 0.910 0.251
16 O 0.713 0.287 0.000
17 O 0.759 0.685 0.526
18 O 0.798 0.757 0.969
19 O 0.832 0.168 0.500
20 O 0.998 0.947 0.778
21 F 0.219 0.781 0.500
22 F 0.304 0.696 0.000
23 F 0.481 0.003 0.743
24 F 0.997 0.519 0.257

***

Q | The following is a DFT calculation (GGA+U) of a relaxed structure of Mn2O3F.

Properties
Crystal system: triclinic
M_tot (μB/cell): 28.0
Density of states at the Fermi level (states/eV per cell): 3.52

Cell lengths 4.584, 6.081, 9.636 Å; angles 108.24, 90.90, 90.07 degrees
Positions (direct):
1 Mn 0.000 0.000 0.000
2 Mn 0.009 0.508 0.003
3 Mn 0.021 0.254 0.497
4 Mn 0.041 0.756 0.508
5 Mn 0.481 0.371 0.256
6 Mn 0.492 0.140 0.765
7 Mn 0.501 0.882 0.247
8 Mn 0.542 0.622 0.741
9 O 0.200 0.955 0.403
10 O 0.204 0.451 0.403
11 O 0.205 0.210 0.913
12 O 0.312 0.077 0.153
13 O 0.314 0.581 0.159
14 O 0.324 0.331 0.656
15 O 0.332 0.835 0.657
16 O 0.693 0.175 0.348
17 O 0.710 0.427 0.846
18 O 0.712 0.926 0.843
19 O 0.818 0.802 0.099
20 O 0.826 0.550 0.592
21 F 0.236 0.701 0.892
22 F 0.704 0.683 0.355
23 F 0.794 0.311 0.112
24 F 0.811 0.062 0.605

***

R | The following is a DFT calculation (GGA+U) of a relaxed structure of Mn2O3F.

Properties
Crystal system: orthorhombic
M_tot (μB/cell): 28.0
Density of states at the Fermi level (states/eV per cell): 4.90

Cell lengths 7.298, 7.298, 6.368 Å; angles 90.00, 90.00, 131.15 degrees
Positions (direct):
1 Mn 0.122 0.878 0.750
2 Mn 0.126 0.376 0.750
3 Mn 0.374 0.626 0.250
4 Mn 0.376 0.126 0.250
5 Mn 0.624 0.874 0.750
6 Mn 0.626 0.374 0.750
7 Mn 0.874 0.624 0.250
8 Mn 0.878 0.122 0.250
9 O 0.031 0.969 0.250
10 O 0.127 0.376 0.059
11 O 0.127 0.376 0.441
12 O 0.281 0.719 0.750
13 O 0.376 0.127 0.559
14 O 0.376 0.127 0.941
15 O 0.624 0.873 0.059
16 O 0.624 0.873 0.441
17 O 0.719 0.281 0.250
18 O 0.873 0.624 0.559
19 O 0.873 0.624 0.941
20 O 0.969 0.031 0.750
21 F 0.232 0.768 0.250
22 F 0.484 0.516 0.750
23 F 0.516 0.484 0.250
24 F 0.768 0.232 0.750

***

S | The following is a DFT calculation (GGA+U) of a relaxed structure of Mn2O3F.

Properties
Crystal system: monoclinic
M_tot (μB/cell): 28.0
Density of states at the Fermi level (states/eV per cell): 1.32

Cell lengths 5.529, 4.549, 10.193 Å; angles 90.00, 96.47, 90.00 degrees
Positions (direct):
1 Mn 0.000 0.000 0.000
2 Mn 0.000 0.500 0.500
3 Mn 0.245 0.026 0.739
4 Mn 0.245 0.474 0.239
5 Mn 0.500 0.000 0.500
6 Mn 0.500 0.500 0.000
7 Mn 0.755 0.526 0.761
8 Mn 0.755 0.974 0.261
9 O 0.005 0.722 0.672
10 O 0.005 0.778 0.172
11 O 0.231 0.207 0.575
12 O 0.231 0.293 0.075
13 O 0.500 0.208 0.331
14 O 0.500 0.292 0.831
15 O 0.500 0.708 0.169
16 O 0.500 0.792 0.669
17 O 0.769 0.707 0.925
18 O 0.769 0.793 0.425
19 O 0.995 0.222 0.828
20 O 0.995 0.278 0.328
21 F 0.273 0.693 0.405
22 F 0.273 0.807 0.905
23 F 0.727 0.193 0.095
24 F 0.727 0.307 0.595

***

According to the calculations, the structures order from most to least stable as P, Q, S, R.

***

P | The following is a DFT calculation (GGA+U) of a relaxed structure of Mn2O3F.

Properties
Crystal system: orthorhombic
M_tot (μB/cell): 28.0
Density of states at the Fermi level (states/eV per cell): 3.06

Cell lengths 12.113, 4.586, 4.586 Å; angles 87.31, 90.00, 90.00 degrees
Positions (direct):
1 Mn 0.000 0.000 0.000
2 Mn 0.124 0.474 0.474
3 Mn 0.250 0.955 0.955
4 Mn 0.374 0.488 0.488
5 Mn 0.500 0.957 0.957
6 Mn 0.626 0.488 0.488
7 Mn 0.750 0.955 0.955
8 Mn 0.876 0.474 0.474
9 O 0.000 0.288 0.288
10 O 0.125 0.174 0.789
11 O 0.125 0.789 0.174
12 O 0.250 0.665 0.665
13 O 0.375 0.160 0.771
14 O 0.375 0.771 0.160
15 O 0.500 0.667 0.667
16 O 0.625 0.160 0.771
17 O 0.625 0.771 0.160
18 O 0.750 0.665 0.665
19 O 0.875 0.174 0.789
20 O 0.875 0.789 0.174
21 F 0.000 0.698 0.698
22 F 0.257 0.263 0.263
23 F 0.500 0.280 0.280
24 F 0.743 0.263 0.263

***

Q | The following is a DFT calculation (GGA+U) of a relaxed structure of Mn2O3F.

Properties
Crystal system: monoclinic
M_tot (μB/cell): 28.0
Density of states at the Fermi level (states/eV per cell): 4.48

Cell lengths 5.507, 5.507, 10.050 Å; angles 110.66, 110.66, 66.58 degrees
Positions (direct):
1 Mn 0.000 0.000 0.000
2 Mn 0.120 0.630 0.251
3 Mn 0.271 0.271 0.514
4 Mn 0.370 0.880 0.749
5 Mn 0.500 0.500 0.000
6 Mn 0.630 0.120 0.251
7 Mn 0.729 0.729 0.486
8 Mn 0.880 0.370 0.749
9 O 0.041 0.543 0.400
10 O 0.207 0.711 0.100
11 O 0.265 0.265 0.849
12 O 0.289 0.793 0.900
13 O 0.457 0.959 0.600
14 O 0.489 0.489 0.653
15 O 0.511 0.511 0.347
16 O 0.543 0.041 0.400
17 O 0.711 0.207 0.100
18 O 0.735 0.735 0.151
19 O 0.793 0.289 0.900
20 O 0.959 0.457 0.600
21 F 0.042 0.042 0.366
22 F 0.217 0.217 0.137
23 F 0.783 0.783 0.863
24 F 0.958 0.958 0.634

***

R | The following is a DFT calculation (GGA+U) of a relaxed structure of Mn2O3F.

Properties
Crystal system: monoclinic
M_tot (μB/cell): 14.0
Density of states at the Fermi level (states/eV per cell): 1.53

Cell lengths 5.532, 5.532, 4.556 Å; angles 92.00, 92.00, 66.09 degrees
Positions (direct):
1 Mn 0.000 0.000 0.000
2 Mn 0.000 0.500 0.500
3 Mn 0.500 0.000 0.500
4 Mn 0.500 0.500 0.000
5 O 0.161 0.663 0.793
6 O 0.336 0.336 0.296
7 O 0.337 0.839 0.207
8 O 0.663 0.161 0.793
9 O 0.664 0.664 0.704
10 O 0.839 0.337 0.207
11 F 0.151 0.151 0.733
12 F 0.849 0.849 0.267

***

According to the calculations, the structures order from most to least stable as P, Q, R.

***

P | The following is a DFT calculation (GGA+U) of a relaxed structure of Mn3OF5.

Properties
Crystal system: orthorhombic
M_tot (μB/cell): 28.0
Density of states at the Fermi level (states/eV per cell): 4.78

Cell lengths 9.877, 4.835, 4.849 Å; angles 90.00, 90.00, 90.00 degrees
Positions (direct):
1 Mn 0.000 0.222 0.000
2 Mn 0.158 0.755 0.464
3 Mn 0.342 0.245 0.964
4 Mn 0.500 0.778 0.500
5 Mn 0.658 0.245 0.964
6 Mn 0.842 0.755 0.464
7 O 0.000 0.940 0.276
8 O 0.500 0.060 0.776
9 F 0.000 0.525 0.692
10 F 0.165 0.045 0.788
11 F 0.171 0.432 0.171
12 F 0.329 0.568 0.671
13 F 0.335 0.955 0.288
14 F 0.500 0.475 0.192
15 F 0.665 0.955 0.288
16 F 0.671 0.568 0.671
17 F 0.829 0.432 0.171
18 F 0.835 0.045 0.788

***

Q | The following is a DFT calculation (GGA+U) of a relaxed structure of Mn3OF5.

Properties
Crystal system: monoclinic
M_tot (μB/cell): 28.0
Density of states at the Fermi level (states/eV per cell): 4.02

Cell lengths 4.873, 4.873, 9.786 Å; angles 90.36, 90.36, 91.81 degrees
Positions (direct):
1 Mn 0.000 0.000 0.000
2 Mn 0.001 0.001 0.323
3 Mn 0.467 0.467 0.163
4 Mn 0.500 0.500 0.500
5 Mn 0.533 0.533 0.837
6 Mn 0.999 0.999 0.677
7 O 0.172 0.172 0.157
8 O 0.828 0.828 0.843
9 F 0.190 0.190 0.506
10 F 0.220 0.220 0.840
11 F 0.291 0.683 0.332
12 F 0.297 0.703 0.000
13 F 0.317 0.709 0.668
14 F 0.683 0.291 0.332
15 F 0.703 0.297 0.000
16 F 0.709 0.317 0.668
17 F 0.780 0.780 0.160
18 F 0.810 0.810 0.494

***

According to the calculations, the structures order from most to least stable as Q, P.

***

P | The following is a DFT calculation (GGA+U) of a relaxed structure of Mn3OF5.

Properties
Crystal system: triclinic
M_tot (μB/cell): 28.0
Density of states at the Fermi level (states/eV per cell): 3.69

Cell lengths 4.902, 5.860, 8.157 Å; angles 86.76, 88.64, 87.87 degrees
Positions (direct):
1 Mn 0.000 0.000 0.000
2 Mn 0.001 0.327 0.668
3 Mn 0.461 0.852 0.682
4 Mn 0.469 0.173 0.352
5 Mn 0.481 0.520 0.998
6 Mn 0.980 0.673 0.342
7 O 0.284 0.120 0.582
8 O 0.296 0.810 0.892
9 F 0.175 0.313 0.906
10 F 0.178 0.972 0.238
11 F 0.193 0.616 0.567
12 F 0.293 0.474 0.236
13 F 0.669 0.863 0.461
14 F 0.681 0.210 0.107
15 F 0.693 0.555 0.756
16 F 0.786 0.055 0.775
17 F 0.789 0.711 0.108
18 F 0.795 0.364 0.438

***

Q | The following is a DFT calculation (GGA+U) of a relaxed structure of Mn3OF5.

Properties
Crystal system: monoclinic
M_tot (μB/cell): 28.0
Density of states at the Fermi level (states/eV per cell): 0.11

Cell lengths 5.924, 4.858, 8.119 Å; angles 90.00, 92.17, 90.00 degrees
Positions (direct):
1 Mn 0.068 0.000 0.328
2 Mn 0.252 0.501 0.987
3 Mn 0.409 0.961 0.670
4 Mn 0.591 0.461 0.330
5 Mn 0.748 0.001 0.013
6 Mn 0.932 0.500 0.672
7 O 0.224 0.671 0.782
8 O 0.776 0.171 0.218
9 F 0.051 0.779 0.093
10 F 0.123 0.175 0.564
11 F 0.278 0.308 0.210
12 F 0.377 0.782 0.427
13 F 0.452 0.198 0.903
14 F 0.548 0.698 0.097
15 F 0.623 0.282 0.573
16 F 0.722 0.808 0.790
17 F 0.877 0.675 0.436
18 F 0.949 0.279 0.907

***

R | The following is a DFT calculation (GGA+U) of a relaxed structure of Mn3OF5.

Properties
Crystal system: orthorhombic
M_tot (μB/cell): 28.0
Density of states at the Fermi level (states/eV per cell): 1.18

Cell lengths 10.773, 10.773, 3.245 Å; angles 90.00, 90.00, 141.72 degrees
Positions (direct):
1 Mn 0.000 0.000 0.000
2 Mn 0.152 0.848 0.500
3 Mn 0.327 0.673 0.000
4 Mn 0.500 0.500 0.500
5 Mn 0.673 0.327 0.000
6 Mn 0.848 0.152 0.500
7 O 0.094 0.906 0.000
8 O 0.906 0.094 0.000
9 F 0.134 0.474 0.500
10 F 0.191 0.191 0.500
11 F 0.221 0.779 0.000
12 F 0.433 0.567 0.000
13 F 0.474 0.134 0.500
14 F 0.526 0.866 0.500
15 F 0.567 0.433 0.000
16 F 0.779 0.221 0.000
17 F 0.809 0.809 0.500
18 F 0.866 0.526 0.500

***

S | The following is a DFT calculation (GGA+U) of a relaxed structure of Mn3OF5.

Properties
Crystal system: monoclinic
M_tot (μB/cell): 28.0

Cell lengths 5.901, 5.901, 7.543 Å; angles 106.88, 106.88, 74.20 degrees
Positions (direct):
1 Mn 0.000 0.000 0.000
2 Mn 0.000 0.000 0.500
3 Mn 0.341 0.341 0.322
4 Mn 0.350 0.350 0.844
5 Mn 0.650 0.650 0.156
6 Mn 0.659 0.659 0.678
7 O 0.437 0.437 0.119
8 O 0.563 0.563 0.881
9 F 0.028 0.645 0.821
10 F 0.124 0.124 0.808
11 F 0.249 0.249 0.553
12 F 0.298 0.702 0.500
13 F 0.355 0.972 0.179
14 F 0.645 0.028 0.821
15 F 0.702 0.298 0.500
16 F 0.751 0.751 0.447
17 F 0.876 0.876 0.192
18 F 0.972 0.355 0.179

***

According to the calculations, the structures order from most to least stable as S, R, P, Q.

***

P | The following is a DFT calculation (GGA+U) of a relaxed structure of Mn3OF5.

Properties
Crystal system: monoclinic
M_tot (μB/cell): 28.0
Density of states at the Fermi level (states/eV per cell): 3.79

Cell lengths 5.882, 5.882, 7.503 Å; angles 106.29, 106.29, 73.79 degrees
Positions (direct):
1 Mn 0.000 0.000 0.000
2 Mn 0.002 0.002 0.519
3 Mn 0.343 0.343 0.841
4 Mn 0.355 0.355 0.341
5 Mn 0.669 0.669 0.189
6 Mn 0.683 0.683 0.664
7 O 0.586 0.586 0.392
8 O 0.894 0.894 0.708
9 F 0.039 0.647 0.333
10 F 0.112 0.112 0.312
11 F 0.235 0.235 0.044
12 F 0.309 0.702 0.021
13 F 0.365 0.980 0.680
14 F 0.462 0.462 0.650
15 F 0.647 0.039 0.333
16 F 0.702 0.309 0.021
17 F 0.756 0.756 0.964
18 F 0.980 0.365 0.680

***

Q | The following is a DFT calculation (GGA+U) of a relaxed structure of Mn3OF5.

Properties
Crystal system: triclinic
M_tot (μB/cell): 28.0
Density of states at the Fermi level (states/eV per cell): 2.87

Cell lengths 5.844, 5.875, 7.717 Å; angles 72.41, 72.24, 70.77 degrees
Positions (direct):
1 Mn 0.000 0.000 0.000
2 Mn 0.000 0.000 0.500
3 Mn 0.325 0.321 0.175
4 Mn 0.371 0.303 0.661
5 Mn 0.629 0.697 0.339
6 Mn 0.675 0.679 0.825
7 O 0.328 0.984 0.342
8 O 0.672 0.016 0.658
9 F 0.059 0.620 0.662
10 F 0.110 0.091 0.698
11 F 0.243 0.226 0.959
12 F 0.302 0.683 0.006
13 F 0.431 0.436 0.366
14 F 0.569 0.564 0.634
15 F 0.698 0.317 0.994
16 F 0.757 0.774 0.041
17 F 0.890 0.909 0.302
18 F 0.941 0.380 0.338

***

According to the calculations, the structures order from most to least stable as Q, P.